MgNi | PBE-GGA | optimized geometry

Results
density of states at the Fermi level: 1.6558 states/eV per atom
size of the total moment: 0.1 Bohr magnetons per cell
ρ: 2.4 g/cm³
calculated volume: 28.41 Å³ per atom
energy of formation: 97.7 kJ per mole of atoms

Cell: 6.986 6.986 6.986 Å, 90.00 90.00 90.00°
Sites, in units of the cell vectors:
Mg1 0.000 0.250 0.500
Mg2 0.000 0.750 0.500
Mg3 0.250 0.500 0.000
Mg4 0.500 0.000 0.250
Mg5 0.500 0.000 0.750
Mg6 0.750 0.500 0.000
Ni1 0.000 0.500 0.250
Ni2 0.000 0.500 0.750
Ni3 0.250 0.000 0.500
Ni4 0.500 0.250 0.000
Ni5 0.500 0.750 0.000
Ni6 0.750 0.000 0.500